First-principles (PBE) data for a relaxed structure of BaHoGe2, as listed in the Open Quantum Materials Database.

Total energy: -3.78 eV/atom

Cell: 3.379 6.231 11.940 Å, 90.00 90.00 90.00°
Space group Amm2 (No. 38)
Asymmetric unit:
Ba1 0.000 0.000 0.000
Ho1 0.000 0.000 0.293
Ge1 0.000 0.000 0.525
Ge2 0.000 0.000 0.731



First-principles (PBE) data for a relaxed structure of LiLuZnCu, as listed in the Open Quantum Materials Database.

Total energy: -3.02 eV/atom

Cell: 6.398 6.398 6.398 Å, 90.00 90.00 90.00°
Space group F-43m (No. 216)
Asymmetric unit:
Li1 0.000 0.000 0.000
Lu1 0.250 0.250 0.750
Zn1 0.250 0.250 0.250
Cu1 0.000 0.000 0.500



First-principles (PBE) data for a relaxed structure of Hf4FePN2, as listed in the Open Quantum Materials Database.

Total energy: -9.86 eV/atom

Cell: 3.2488 3.2488 12.6086 Å, 90.00 90.00 120.00°
Space group P-6m2 (No. 187)
Asymmetric unit:
Hf1 0.0000 0.0000 0.1421
Hf2 0.3333 0.6667 0.3484
Fe1 0.0000 0.0000 0.5000
P1 0.3333 0.6667 0.0000
N1 0.6667 0.3333 0.2435



First-principles (PBE) data for a relaxed structure of HoTmAsO, as listed in the Open Quantum Materials Database.

Total energy: -6.57 eV/atom

Cell: 4.305 4.305 8.630 Å, 90.00 90.00 90.00°
Space group P4/nmm (No. 129, origin choice 2)
Asymmetric unit:
Ho1 0.250 0.250 0.101
Tm1 0.250 0.750 0.500
As1 0.250 0.250 0.704
O1 0.250 0.750 0.000



First-principles (PBE) data for a relaxed structure of CsAg3Te4Pb, as listed in the Open Quantum Materials Database.

Total energy: -2.95 eV/atom

Cell: 7.185 7.185 7.185 Å, 90.00 90.00 90.00°
Space group P-43m (No. 215)
Asymmetric unit:
Cs1 0.000 0.000 0.000
Ag1 0.000 0.500 0.500
Te1 0.276 0.276 0.276
Pb1 0.500 0.500 0.500



First-principles (PBE) data for a relaxed structure of PuUCo, as listed in the Open Quantum Materials Database.

Formation energy: 0.188 eV/f.u.

Cell: 5.916 5.916 5.916 Å, 90.00 90.00 90.00°
Space group F-43m (No. 216)
Asymmetric unit:
Pu1 0.000 0.000 0.000
U1 0.250 0.250 0.250
Co1 0.000 0.000 0.500